Entry 1:
Below is a relaxed structure of SiSe2Br, with properties calculated at the PBE level.

## Properties
electronic total energy	-12.9	eV/f.u.
formation energy (no corrections)	0.282	eV/atom
E above lowest polymorph	395.4	meV/atom
crystal system	tetragonal
total magnetic moment	0.000	μB per atom

Cell lengths 3.576, 3.576, 7.309 Å; angles 90.00, 90.00, 90.00 degrees
Atoms (fractional coordinates):
Br1 0.500 0.500 0.750
Se1 0.000 0.000 0.082
Se2 0.000 0.000 0.418
Si1 0.500 0.500 0.250

Entry 2:
Below is a relaxed structure of TlCuRh2, with properties calculated at the PBE level.

## Properties
electronic total energy	-20.4	eV/f.u.
crystal system	monoclinic
E_form	0.198	eV per atom
total magnetic moment	0.000	μB per atom

Cell lengths 4.786, 4.786, 4.806 Å; angles 79.60, 79.60, 36.26 degrees
Atoms (fractional coordinates):
Cu1 0.256 0.256 0.230
Rh1 0.001 0.001 0.000
Rh2 0.744 0.744 0.773
Tl1 0.499 0.499 0.496

Entry 3:
Below is a relaxed structure of Be3CdN, with properties calculated at the PBE level.

## Properties
electronic total energy	-19.5	eV/f.u.
formation energy (no corrections)	0.181	eV/atom
E above lowest polymorph	0.0	meV/atom
crystal system	cubic
total magnetic moment	0.000	μB per atom

Cell lengths 3.704, 3.704, 3.704 Å; angles 90.00, 90.00, 90.00 degrees
Atoms (fractional coordinates):
Be1 0.000 0.500 0.000
Be2 0.000 0.000 0.500
Be3 0.500 0.000 0.000
N1 0.000 0.000 0.000
Cd1 0.500 0.500 0.500

Entry 4:
Below is a relaxed structure of Tb8Sm3Ho2, with properties calculated at the PBE level.

## Properties
electronic total energy	-59.3	eV/f.u.
E above lowest polymorph	0.0	meV/atom
crystal system	monoclinic
E_form	0.084	eV per atom
total magnetic moment	0.000	μB per atom

Cell lengths 5.577, 6.773, 11.766 Å; angles 78.15, 103.69, 89.97 degrees
Atoms (fractional coordinates):
Tb1 0.077 0.406 0.153
Tb2 0.923 0.594 0.847
Tb3 0.177 0.735 0.355
Tb4 0.823 0.265 0.645
Tb5 0.379 0.990 0.757
Tb6 0.332 0.529 0.664
Tb7 0.668 0.471 0.336
Tb8 0.621 0.010 0.243
Sm1 0.000 0.000 0.000
Sm2 0.488 0.288 0.976
Sm3 0.512 0.712 0.024
Ho1 0.770 0.815 0.539
Ho2 0.230 0.185 0.461

Entry 5:
Below is a relaxed structure of KCuBr2, with properties calculated at the PBE level.

## Properties
electronic total energy	-12.4	eV/f.u.
formation energy (no corrections)	-0.958	eV/atom
E above lowest polymorph	38.3	meV/atom
crystal system	tetragonal
total magnetic moment	0.000	μB per atom

Cell lengths 7.516, 7.516, 6.788 Å; angles 56.39, 56.39, 90.00 degrees
Atoms (fractional coordinates):
K1 0.500 0.500 0.000
K2 0.250 0.750 0.500
Cu1 0.000 0.000 0.000
Cu2 0.750 0.250 0.500
Br1 0.710 0.125 0.250
Br2 0.040 0.625 0.250
Br3 0.375 0.290 0.750
Br4 0.875 0.960 0.750

Entry 6:
Below is a relaxed structure of CdFeSe4, with properties calculated at the PBE level.

## Properties
electronic total energy	-18.8	eV/f.u.
formation energy (no corrections)	0.750	eV/atom
crystal system	cubic
total magnetic moment	0.553	μB per atom

Cell lengths 5.719, 5.719, 5.719 Å; angles 60.00, 60.00, 60.00 degrees
Site moments in Bohr magnetons follow the coordinates.
Atoms (fractional coordinates):
Cd1 0.750 0.750 0.750  -0.04
Fe1 0.000 0.000 0.000  3.16
Se1 0.875 0.375 0.375  0.02
Se2 0.375 0.375 0.875  0.02
Se3 0.375 0.875 0.375  0.02
Se4 0.375 0.375 0.375  0.02

Entry 7:
Below is a relaxed structure of Y2TlBrO, with properties calculated at the PBE level.

## Properties
electronic total energy	-27.8	eV/f.u.
formation energy (no corrections)	-1.170	eV/atom
crystal system	tetragonal
total magnetic moment	0.000	μB per atom

Cell lengths 4.599, 6.035, 4.599 Å; angles 90.00, 90.00, 90.00 degrees
Atoms (fractional coordinates):
Y1 0.000 0.000 0.500
Y2 0.500 0.000 0.000
Tl1 0.500 0.500 0.500
O1 0.000 0.000 0.000
Br1 0.000 0.500 0.000

Entry 8:
Below is a relaxed structure of Li2TcF, with properties calculated at the PBE level.

## Properties
electronic total energy	-17.8	eV/f.u.
formation energy (no corrections)	-0.428	eV/atom
E above lowest polymorph	0.0	meV/atom
crystal system	tetragonal
total magnetic moment	0.000	μB per atom

Cell lengths 5.396, 5.396, 5.218 Å; angles 58.86, 58.86, 90.00 degrees
Atoms (fractional coordinates):
Li1 0.488 0.125 0.250
Li2 0.262 0.625 0.250
Li3 0.375 0.512 0.750
Li4 0.875 0.738 0.750
Tc1 0.000 0.000 0.000
Tc2 0.750 0.250 0.500
F1 0.500 0.500 0.000
F2 0.250 0.750 0.500

- What is the formula in the eighth record?
  Li2TcF

- Which of these has the lowest electronic total energy?
  Tb8Sm3Ho2

- total magnetic moment of number 7 (Y2TlBrO)?
  0.000 μB per atom